Entry 1:
This record from Alexandria describes an optimized crystal structure of CaTeSe. The functional is PBE-GGA.

Lattice parameters (Å, degrees): 5.0857 5.0857 5.0857 60.00 60.00 60.00
Positions (direct):
Te 0.0000 0.0000 0.0000
Ca 0.5000 0.5000 0.5000
Se 0.2500 0.2500 0.2500

## Properties
**Energy above the lowest structure with this stoichiometry**: 1.46 eV/f.u.
**E_tot**: -3.51 eV/atom
**DOS(E_F)**: 2.2 states/eV/f.u.

***

Entry 2:
This record from Alexandria describes an optimized crystal structure of LaMnSn2. The functional is PBE-GGA.

Lattice parameters (Å, degrees): 5.0457 5.0457 5.0457 60.00 60.00 60.00
Positions (direct):
Mn 0.0000 0.0000 0.0000
Sn 0.7500 0.7500 0.7500
Sn 0.2500 0.2500 0.2500
La 0.5000 0.5000 0.5000

## Properties
**E_tot**: -5.39 eV/atom
**DOS(E_F)**: 2.7 states/eV/f.u.
**DFT formation energy**: 137 meV per atom

***

Entry 3:
This record from Alexandria describes an optimized crystal structure of Tl5Hg5Bi. The functional is PBE-GGA.

Lattice parameters (Å, degrees): 5.8605 5.8605 11.5040 90.00 90.00 120.00
Positions (direct):
Hg 0.0000 0.0000 0.7359
Hg 0.0000 0.0000 0.2641
Tl 0.6667 0.3333 0.1545
Tl 0.6667 0.3333 0.8455
Hg 0.8310 0.1690 0.5000
Hg 0.3381 0.1690 0.5000
Tl 0.3333 0.6667 0.3045
Tl 0.0000 0.0000 0.0000
Tl 0.3333 0.6667 0.6955
Bi 0.3333 0.6667 0.0000
Hg 0.8310 0.6619 0.5000

## Properties
**E_tot**: -1.53 eV/atom
**DOS(E_F)**: 5.3 states/eV/f.u.
**DFT formation energy**: 33 meV per atom

***

Entry 4:
This record from Alexandria describes an optimized crystal structure of Cr2CuAg. The functional is PBE-GGA.

Lattice parameters (Å, degrees): 6.9281 6.9281 5.4601 50.62 50.62 90.00
Positions (direct):
Cr 0.3750 0.3962 0.7500
Ag 0.7500 0.2500 0.5000
Cu 0.2500 0.7500 0.5000
Cr 0.8750 0.8538 0.7500
Cu 0.5000 0.5000 0.0000
Ag 0.0000 0.0000 0.0000
Cr 0.1462 0.6250 0.2500
Cr 0.6038 0.1250 0.2500

## Properties
**Energy above the lowest structure with this stoichiometry**: 3.18 eV/f.u.
**E_tot**: -5.47 eV/atom
**DOS(E_F)**: 5.8 states/eV/f.u.
**DFT formation energy**: 1082 meV per atom

***

- Number 4 is which compound?
  Cr2CuAg